(1)
## Sm3GdC (GGA-PBE)

Data for a geometry-optimized Sm3GdC structure.

It has space group Pm-3m (No. 221), with a = 5.176 Å, b = 5.176 Å, c = 5.176 Å, α = 90.00°, β = 90.00° and γ = 90.00°. Symmetry generates all atoms from Sm at (0.000, 0.000, 0.500), Gd at (0.500, 0.500, 0.500) and C at (0.000, 0.000, 0.000).

The calculation puts the total energy at -37.16 eV per cell. The formation energy from the elements is 0.060 eV per atom.

(2)
## Na2SrLaPd (GGA-PBE)

Data for a geometry-optimized Na2SrLaPd structure.

It has space group P4/mmm (No. 123), with a = 5.831 Å, b = 5.831 Å, c = 5.349 Å, α = 90.00°, β = 90.00° and γ = 90.00°. Symmetry generates all atoms from Na at (0.000, 0.500, 0.000), Sr at (0.000, 0.000, 0.000), La at (0.500, 0.500, 0.500) and Pd at (0.000, 0.000, 0.500).

The calculation puts the total energy at -11.78 eV per cell. The formation energy from the elements is 0.532 eV per atom.

(3)
## Pr8Dy4Th (GGA-PBE)

Data for a geometry-optimized Pr8Dy4Th structure.

It has space group R-3m (No. 166, hexagonal axes), with a = 11.8733 Å, b = 11.8733 Å, c = 11.8323 Å, α = 90.00°, β = 90.00° and γ = 120.00°. Symmetry generates all atoms from Pr at (0.0000, 0.0000, 0.2412), Pr at (0.0009, 0.5005, 0.3291), Dy at (0.0000, 0.0000, 0.0000), Dy at (0.0000, 0.5000, 0.0000) and Th at (0.0000, 0.0000, 0.5000).

The calculation puts the total energy at -175.67 eV per cell. The formation energy from the elements is 0.424 eV per atom.

(4)
## ThBeGa2Rh4 (GGA-PBE)

Data for a geometry-optimized ThBeGa2Rh4 structure.

It has space group R-3m (No. 166, hexagonal axes), with a = 4.2463 Å, b = 4.2463 Å, c = 24.1621 Å, α = 90.00°, β = 90.00° and γ = 120.00°. Symmetry generates all atoms from Th at (0.0000, 0.0000, 0.0000), Be at (0.0000, 0.0000, 0.5000), Ga at (0.0000, 0.0000, 0.2370), Rh at (0.0000, 0.0000, 0.1324) and Rh at (0.0000, 0.0000, 0.4017).

The calculation puts the total energy at -157.88 eV per cell. The formation energy from the elements is -0.753 eV per atom.

(5)
## Li2NiP (GGA-PBE)

Data for a geometry-optimized Li2NiP structure.

It has space group P4/mmm (No. 123), with a = 3.441 Å, b = 3.441 Å, c = 3.939 Å, α = 90.00°, β = 90.00° and γ = 90.00°. Symmetry generates all atoms from Li at (0.000, 0.500, 0.000), Ni at (0.000, 0.000, 0.500) and P at (0.500, 0.500, 0.500).

The calculation puts the total energy at -16.56 eV per cell. The formation energy from the elements is -0.386 eV per atom.

(6)
## Ho3TmCu2 (GGA-PBE)

Data for a geometry-optimized Ho3TmCu2 structure.

It has space group Pmc2_1 (No. 26), with a = 4.873 Å, b = 8.645 Å, c = 6.821 Å, α = 90.00°, β = 90.00° and γ = 90.00°. Symmetry generates all atoms from Ho at (0.000, 0.075, 0.000), Ho at (0.000, 0.335, 0.369), Ho at (0.500, 0.166, 0.659), Tm at (0.500, 0.426, 0.029), Cu at (0.000, 0.349, 0.775) and Cu at (0.500, 0.153, 0.253).

The calculation puts the total energy at -54.92 eV per cell. The formation energy from the elements is -0.177 eV per atom.

(7)
## Tm5Te2Pb2 (GGA-PBE)

Data for a geometry-optimized Tm5Te2Pb2 structure.

It has space group Ima2 (No. 46), with a = 17.219 Å, b = 7.683 Å, c = 8.094 Å, α = 90.00°, β = 90.00° and γ = 90.00°. Symmetry generates all atoms from Tm at (0.057, 0.228, 0.000), Tm at (0.155, 0.628, 0.890), Tm at (0.250, 0.181, 0.732), Te at (0.000, 0.000, 0.265), Te at (0.250, 0.548, 0.569) and Pb at (0.089, 0.547, 0.231).

The calculation puts the total energy at -164.71 eV per cell. Its energy relative to the elements, uncorrected is -13.12 kcal/mol of atoms.

(8)
## Na2CdHPb (GGA-PBE)

Data for a geometry-optimized Na2CdHPb structure.

It has space group P4/mmm (No. 123), with a = 4.609 Å, b = 4.609 Å, c = 5.065 Å, α = 90.00°, β = 90.00° and γ = 90.00°. Symmetry generates all atoms from Na at (0.000, 0.500, 0.000), Cd at (0.000, 0.000, 0.500), H at (0.000, 0.000, 0.000) and Pb at (0.500, 0.500, 0.500).

The calculation puts the total energy at -10.73 eV per cell.

(9)
## Pr4SnRh (GGA-PBE)

Data for a geometry-optimized Pr4SnRh structure.

It has space group P2_1/m (No. 11), with a = 6.346 Å, b = 7.050 Å, c = 8.405 Å, α = 90.00°, β = 93.29° and γ = 90.00°. Symmetry generates all atoms from Pr at (0.106, 0.250, 0.083), Pr at (0.155, 0.750, 0.380), Pr at (0.393, 0.505, 0.780), Sn at (0.297, 0.250, 0.450) and Rh at (0.314, 0.750, 0.060).

The calculation puts the total energy at -67.06 eV per cell. The formation energy from the elements is -0.510 eV per atom.

(10)
## Pm2Ga7Cu (GGA-PBE)

Data for a geometry-optimized Pm2Ga7Cu structure.

It has space group P-4m2 (No. 115), with a = 4.275 Å, b = 4.275 Å, c = 10.592 Å, α = 90.00°, β = 90.00° and γ = 90.00°. Symmetry generates all atoms from Pm at (0.000, 0.500, 0.243), Ga at (0.000, 0.000, 0.000), Ga at (0.000, 0.000, 0.500), Ga at (0.000, 0.500, 0.641), Ga at (0.000, 0.500, 0.872), Ga at (0.500, 0.500, 0.500) and Cu at (0.500, 0.500, 0.000).

The calculation puts the total energy at -39.27 eV per cell. The formation energy from the elements is -0.449 eV per atom.

(11)
## PrDyB12 (GGA-PBE)

Data for a geometry-optimized PrDyB12 structure.

It has space group P4/mmm (No. 123), with a = 4.120 Å, b = 4.120 Å, c = 8.242 Å, α = 90.00°, β = 90.00° and γ = 90.00°. Symmetry generates all atoms from Pr at (0.000, 0.000, 0.000), Dy at (0.000, 0.000, 0.500), B at (0.199, 0.500, 0.252), B at (0.500, 0.500, 0.101) and B at (0.500, 0.500, 0.401).

The calculation puts the total energy at -95.69 eV per cell. The formation energy from the elements is -0.441 eV per atom.

(12)
## BaEr2P (GGA-PBE)

Data for a geometry-optimized BaEr2P structure.

It has space group R-3m (No. 166, hexagonal axes), with a = 3.8502 Å, b = 3.8502 Å, c = 31.6904 Å, α = 90.00°, β = 90.00° and γ = 120.00°. Symmetry generates all atoms from Ba at (0.0000, 0.0000, 0.0000), Er at (0.0000, 0.0000, 0.1177) and P at (0.0000, 0.0000, 0.5000).

The calculation puts the total energy at -56.16 eV per cell. The formation energy from the elements is -0.565 eV per atom.

(13)
## SnAsSe2 (GGA-PBE)

Data for a geometry-optimized SnAsSe2 structure.

It has space group R-3m (No. 166, hexagonal axes), with a = 3.7259 Å, b = 3.7259 Å, c = 26.8646 Å, α = 90.00°, β = 90.00° and γ = 120.00°. Symmetry generates all atoms from Sn at (0.0000, 0.0000, 0.0000), As at (0.0000, 0.0000, 0.5000) and Se at (0.0000, 0.0000, 0.1075).

The calculation puts the total energy at -47.45 eV per cell. Its energy relative to the elements, uncorrected is -1.12 kcal/mol of atoms.

(14)
## Ni2GeRhC (GGA-PBE)

Data for a geometry-optimized Ni2GeRhC structure.

It has space group P4/mmm (No. 123), with a = 3.670 Å, b = 3.670 Å, c = 4.520 Å, α = 90.00°, β = 90.00° and γ = 90.00°. Symmetry generates all atoms from Ni at (0.000, 0.500, 0.000), Ge at (0.000, 0.000, 0.500), Rh at (0.500, 0.500, 0.500) and C at (0.000, 0.000, 0.000).

The calculation puts the total energy at -31.36 eV per cell. The formation energy from the elements is 0.279 eV per atom.

(15)
## Sr2MnBiSe5 (GGA-PBE)

Data for a geometry-optimized Sr2MnBiSe5 structure.

It has space group Cmc2_1 (No. 36), with a = 4.214 Å, b = 18.549 Å, c = 12.928 Å, α = 90.00°, β = 90.00° and γ = 90.00°. Symmetry generates all atoms from Sr at (0.000, 0.116, 0.000), Sr at (0.000, 0.121, 0.649), Mn at (0.000, 0.449, 0.734), Bi at (0.000, 0.200, 0.349), Se at (0.000, 0.024, 0.324), Se at (0.000, 0.290, 0.004), Se at (0.000, 0.322, 0.681), Se at (0.000, 0.349, 0.325) and Se at (0.000, 0.494, 0.068).

The calculation puts the total energy at -175.22 eV per cell. Its energy relative to the elements, uncorrected is -25.54 kcal/mol of atoms.

(16)
## Ca3Pu2Ru4 (GGA-PBE)

Data for a geometry-optimized Ca3Pu2Ru4 structure.

It has space group C2/m (No. 12), with a = 11.187 Å, b = 4.231 Å, c = 9.027 Å, α = 90.00°, β = 102.52° and γ = 90.00°. Symmetry generates all atoms from Ca at (0.000, 0.000, 0.000), Ca at (0.128, 0.500, 0.385), Pu at (0.170, 0.500, 0.779), Ru at (0.085, 0.000, 0.632) and Ru at (0.233, 0.500, 0.094).

The calculation puts the total energy at -145.23 eV per cell. The formation energy from the elements is -0.094 eV per atom.

(17)
## CuReSb2 (GGA-PBE)

Data for a geometry-optimized CuReSb2 structure.

It has space group P2/m (No. 10), with a = 3.283 Å, b = 3.283 Å, c = 7.253 Å, α = 90.00°, β = 99.49° and γ = 90.00°. Symmetry generates all atoms from Cu at (0.000, 0.000, 0.000), Re at (0.000, 0.000, 0.500) and Sb at (0.420, 0.500, 0.269).

The calculation puts the total energy at -23.14 eV per cell. Its energy relative to the elements, uncorrected is 9.49 kcal/mol of atoms.

(18)
## Al2CrRh (GGA-PBE)

Data for a geometry-optimized Al2CrRh structure.

It has space group Fm-3m (No. 225), with a = 6.052 Å, b = 6.052 Å, c = 6.052 Å, α = 90.00°, β = 90.00° and γ = 90.00°. Symmetry generates all atoms from Al at (0.250, 0.250, 0.250), Cr at (0.000, 0.000, 0.000) and Rh at (0.000, 0.000, 0.500).

The calculation puts the total energy at -106.83 eV per cell. The formation energy from the elements is -0.562 eV per atom.

(19)
## CrCd2Ir (GGA-PBE)

Data for a geometry-optimized CrCd2Ir structure.

It has space group Imm2 (No. 44), with a = 2.999 Å, b = 4.835 Å, c = 9.809 Å, α = 90.00°, β = 90.00° and γ = 90.00°. Symmetry generates all atoms from Cr at (0.000, 0.000, 0.000), Cd at (0.000, 0.000, 0.458), Cd at (0.000, 0.500, 0.236) and Ir at (0.000, 0.500, 0.703).

The calculation puts the total energy at -38.46 eV per cell. The formation energy from the elements is 0.271 eV per atom.

(20)
## TiTcB3 (GGA-PBE)

Data for a geometry-optimized TiTcB3 structure.

It has space group Pm-3m (No. 221), with a = 3.987 Å, b = 3.987 Å, c = 3.987 Å, α = 90.00°, β = 90.00° and γ = 90.00°. Symmetry generates all atoms from Ti at (0.000, 0.000, 0.000), Tc at (0.500, 0.500, 0.500) and B at (0.000, 0.500, 0.500).

The calculation puts the total energy at -34.79 eV per cell. The formation energy from the elements is 0.701 eV per atom.

no.,DOS at the Fermi energy (states/eV/atom)
1,1.810
2,1.348
3,1.992
4,0.245
5,0.599
6,1.031
7,0.686
8,0.450
9,1.001
10,0.379
11,0.098
12,0.973
13,0.261
14,0.566
15,0.344
16,0.889
17,0.248
18,0.406
19,0.800
20,0.646